Material: USnSb2
Method: DFT, GGA-PBE
State: optimized geometry

a = 12.3646 Å, b = 12.3646 Å, c = 12.3646 Å
α = 14.96°, β = 14.96°, γ = 14.96°
With the nearest neighbours (Å) after each atom.
Positions (direct):
U 0.0000 0.0000 0.0000  2 Sb 3.15, 6 U 3.22
Sn 0.5000 0.5000 0.5000  6 Sn 3.22, 6 Sb 3.49
Sb 0.0860 0.0860 0.0860  1 U 3.15, 6 Sb 3.22, 3 Sn 3.49
Sb 0.9140 0.9140 0.9140  1 U 3.15, 6 Sb 3.22, 3 Sn 3.49

Summary:
The calculated total energy comes out at -22.0 eV per formula unit. The uncorrected formation energy is 0.386 eV per atom. As for the polymorph energy (0 for the lowest one): 12.36 kcal/mol of atoms. The magnetic moment comes out at 2.859 μB per cell. The symmetry is R-3m (166).